DFT (PBE) results for a relaxed structure of Sr2AcH6.

Lattice parameters (Å, degrees): 4.114 5.863 7.183 114.09 106.61 90.00
Fractional coordinates of all 9 atoms:
Sr  0.330  0.330  0.660
Sr  0.670  0.670  0.340
Ac  0.000  0.000  0.000
H  0.836  0.085  0.671
H  0.164  0.413  0.329
H  0.164  0.915  0.329
H  0.500  0.250  0.000
H  0.836  0.587  0.671
H  0.500  0.750  0.000

- Crystal system: orthorhombic
- Uncorrected energy: -32.48 eV per formula unit